# LiFePO4

A relaxed structure of LiFePO4 (PBE+U, Alexandria via LeMat-Bulk).

Geometry as CIF:
```
data_LiFePO4
_chemical_formula_sum 'Li4 Fe4 P4 O16'
_cell_length_a 10.3870
_cell_length_b 6.2641
_cell_length_c 4.7907
_cell_angle_alpha 90.00
_cell_angle_beta 90.00
_cell_angle_gamma 90.00
_symmetry_space_group_name_H-M 'P n m a'
_symmetry_Int_Tables_number 62
loop_
_symmetry_equiv_pos_as_xyz
'x,y,z'
'-x,-y,-z'
'-x+1/2,-y,z+1/2'
'x+1/2,y,-z+1/2'
'x+1/2,-y+1/2,-z+1/2'
'-x+1/2,y+1/2,z+1/2'
'-x,y+1/2,-z'
'x,-y+1/2,z'
loop_
_atom_site_label
_atom_site_fract_x
_atom_site_fract_y
_atom_site_fract_z
_atom_site_occupancy
Li1 0.2130 0.2500 0.0049 1
Fe1 0.0000 0.0000 0.5000 1
P1 0.0961 0.7500 0.0791 1
O1 0.0448 0.2500 0.7872 1
O2 0.0872 0.7500 0.7531 1
O3 0.1605 0.5464 0.1968 1
```

Calculated values
The value obtained for the calculated volume is 77.9 Å³/f.u. The energy above the most stable polymorph in this dataset is 1.25 kcal/mol of atoms. As for the density of states at the Fermi level: 0.000 states/eV/cell.